## SbAs4Pb8 (PBE)

Data for crystalline SbAs4Pb8 at its relaxed geometry.

a = 7.528 Å, b = 7.528 Å, c = 9.255 Å
α = 117.41°, β = 117.41°, γ = 69.03°
Fractional positions:
Sb1 0.000 0.000 0.000
As1 0.237 0.763 0.500
As2 0.251 0.251 0.026
As3 0.749 0.749 0.974
As4 0.763 0.237 0.500
Pb1 0.063 0.499 0.802
Pb2 0.126 0.126 0.406
Pb3 0.472 0.472 0.689
Pb4 0.499 0.063 0.802
Pb5 0.501 0.937 0.198
Pb6 0.528 0.528 0.311
Pb7 0.874 0.874 0.594
Pb8 0.937 0.501 0.198

Output
For the electronic total energy, the calculation gives -51.59 eV per cell. Its uncorrected formation energy is 61 meV per atom. The value obtained for the spin magnetization is 0.0000 μB/atom. The density of states at the Fermi level comes out at 0.47 states/eV/atom.